First-principles (PBE+U) data for Sr3PaV2O9 after structural relaxation, as listed in Alexandria.

It has space group P-3m1 (No. 164), with a = 5.7530 Å, b = 5.7530 Å, c = 7.1887 Å, α = 90.00°, β = 90.00° and γ = 120.00°. The inequivalent atoms are Sr at (0.0000, 0.0000, 0.0000), Sr at (0.3333, 0.6667, 0.7089), Pa at (0.0000, 0.0000, 0.5000), V at (0.3333, 0.6667, 0.1529), O at (0.0000, 0.5000, 0.0000) and O at (0.1712, 0.3423, 0.3163).

The calculation puts the spin magnetization at 3.00 μB/f.u. The total DFT energy (no corrections) comes out at -7.72 eV/atom.